Entry 1:
Entry from OQMD: a relaxed structure of BeTcSbPb (GGA-PBE).

Summary:
* calculated total energy: -4.743 eV/atom
* ΔE to the lowest computed polymorph: 0.0000 eV/atom
* total magnetic moment: 0.010 μB/cell

a = 6.687 Å, b = 6.687 Å, c = 6.687 Å
α = 90.00°, β = 90.00°, γ = 90.00°
Space group F-43m (No. 216)
Unique sites:
1 Be 0.000 0.000 0.000
2 Tc 0.000 0.000 0.500
3 Sb 0.250 0.250 0.750
4 Pb 0.250 0.250 0.250

---

Entry 2:
Entry from OQMD: a relaxed structure of NbCoIr (GGA-PBE).

Summary:
* calculated total energy: -8.460 eV/atom
* ΔH_f (0 K): 0.225 eV per atom
* total magnetic moment: 0.109 μB/cell

a = 5.880 Å, b = 5.880 Å, c = 5.880 Å
α = 90.00°, β = 90.00°, γ = 90.00°
Space group F-43m (No. 216)
Unique sites:
1 Nb 0.000 0.000 0.000
2 Co 0.250 0.250 0.250
3 Ir 0.250 0.250 0.750

---

Entry 3:
Entry from OQMD: a relaxed structure of CdTcB4 (GGA-PBE).

Summary:
* calculated total energy: -6.096 eV/atom
* ΔE to the lowest computed polymorph: 0.0000 eV/atom
* total magnetic moment: 0.294 μB/cell

a = 3.0111 Å, b = 3.0111 Å, c = 7.6888 Å
α = 90.00°, β = 90.00°, γ = 120.00°
Space group P6/mmm (No. 191)
Unique sites:
1 Cd 0.0000 0.0000 0.0000
2 Tc 0.0000 0.0000 0.5000
3 B 0.3333 0.6667 0.2845

---

Entry 4:
Entry from OQMD: a relaxed structure of GdInFeTe3 (GGA-PBE).

Summary:
* calculated total energy: -4.763 eV/atom
* total magnetic moment: 15.470 μB/cell

a = 4.287 Å, b = 15.417 Å, c = 11.341 Å
α = 90.00°, β = 90.00°, γ = 90.00°
Space group Cmcm (No. 63)
Unique sites:
1 Gd 0.000 0.000 0.000
2 In 0.000 0.244 0.250
3 Fe 0.000 0.473 0.750
4 Te 0.000 0.078 0.750
5 Te 0.000 0.365 0.571